Entry 1:
First-principles (GGA-PBE) data for an optimized crystal structure of CsSeOF2, as listed in Alexandria.

Output
Its energy relative to the lowest polymorph listed for this composition is 1.416 eV per atom. For the spin magnetization, the calculation gives 0.76 μB per atom. Its formation energy (no corrections) is -0.055 eV per atom. The value obtained for the calculated volume is 24.44 A^3/atom. The value obtained for the density of states at the Fermi level is 2.65 states/eV per cell. The value obtained for the uncorrected energy is -13.32 eV per cell.

a b c (Å): 5.2183 5.2183 4.4882
angles (deg): 90.00 90.00 90.00
With the nearest neighbours (Å) after each atom.
Atoms (fractional coordinates):
Se: 0.5000 0.5000 0.5000  8 F 3.44, 4 O 3.69
Cs: 0.0000 0.0000 0.0000  2 O 2.24
O: 0.0000 0.0000 0.5000  2 Cs 2.24
F: 0.5000 0.0000 0.0000  2 Cs 2.61
F: 0.0000 0.5000 0.0000  2 Cs 2.61

=====

Entry 2:
First-principles (GGA-PBE) data for an optimized crystal structure of CsSiO2F, as listed in Alexandria.

Output
For the spin magnetization, the calculation gives 0.00 μB per atom. Its formation energy (no corrections) is -1.800 eV per atom. The value obtained for the calculated volume is 13.42 A^3/atom. The value obtained for the density of states at the Fermi level is 0.64 states/eV per cell. The value obtained for the uncorrected energy is -27.06 eV per cell.

a b c (Å): 3.6334 3.6334 5.0822
angles (deg): 90.00 90.00 90.00
With the nearest neighbours (Å) after each atom.
Atoms (fractional coordinates):
Cs: 0.5000 0.5000 0.5000  4 F 2.57
O: 0.5000 0.0000 0.0000  2 Si 1.82
O: 0.0000 0.5000 0.0000  2 Si 1.82
F: 0.0000 0.0000 0.5000  2 Si 2.54, 4 Cs 2.57
Si: 0.0000 0.0000 0.0000  4 O 1.82

=====

Entry 3:
First-principles (GGA-PBE) data for an optimized crystal structure of CsSiO2F, as listed in Alexandria.

Output
For the spin magnetization, the calculation gives 0.00 μB per atom. Its formation energy (no corrections) is 0.458 eV per atom. The value obtained for the calculated volume is 20.97 A^3/atom. The value obtained for the density of states at the Fermi level is 2.21 states/eV per cell. The value obtained for the uncorrected energy is -15.78 eV per cell.

a b c (Å): 4.5354 4.5354 5.0978
angles (deg): 90.00 90.00 90.00
With the nearest neighbours (Å) after each atom.
Atoms (fractional coordinates):
Cs: 0.0000 0.0000 0.0000  4 O 2.27
O: 0.0000 0.5000 0.0000  2 Cs 2.27
O: 0.5000 0.0000 0.0000  2 Cs 2.27
Si: 0.5000 0.5000 0.5000  4 F 3.21, 8 O 3.41
F: 0.0000 0.0000 0.5000  2 Cs 2.55

=====

Entry 4:
First-principles (GGA-PBE) data for an optimized crystal structure of Cs2SiOF6, as listed in Alexandria.

Output
For the spin magnetization, the calculation gives 0.20 μB per atom. Its formation energy (no corrections) is -2.548 eV per atom. The value obtained for the calculated volume is 18.89 A^3/atom. The value obtained for the density of states at the Fermi level is 0.00 states/eV per cell. The value obtained for the uncorrected energy is -48.80 eV per cell.

a b c (Å): 6.2764 6.2764 6.5345
angles (deg): 61.30 61.30 90.00
With the nearest neighbours (Å) after each atom.
Atoms (fractional coordinates):
F: 0.8057 0.1943 0.0000  1 Si 1.72
F: 0.8207 0.8207 0.3586  1 Si 1.72
F: 0.1943 0.1943 0.0000  1 Si 1.72
F: 0.8057 0.8057 0.0000  1 Si 1.72
F: 0.1793 0.1793 0.6414  1 Si 1.72
F: 0.1943 0.8057 0.0000  1 Si 1.72
Cs: 0.2500 0.7500 0.5000  12 F 3.21-3.30
Cs: 0.7500 0.2500 0.5000  12 F 3.21-3.30
O: 0.5000 0.5000 0.0000  4 F 2.71
Si: 0.0000 0.0000 0.0000  6 F 1.72

=====

Entry 5:
First-principles (GGA-PBE) data for an optimized crystal structure of CsSnO2F, as listed in Alexandria.

Output
For the spin magnetization, the calculation gives 0.00 μB per atom. Its formation energy (no corrections) is -1.740 eV per atom. The value obtained for the calculated volume is 16.15 A^3/atom. The value obtained for the density of states at the Fermi level is 0.74 states/eV per cell. The value obtained for the uncorrected energy is -25.34 eV per cell.

a b c (Å): 4.1274 4.1274 4.7416
angles (deg): 90.00 90.00 90.00
With the nearest neighbours (Å) after each atom.
Atoms (fractional coordinates):
O: 0.5000 0.0000 0.0000  2 Sn 2.06
O: 0.0000 0.5000 0.0000  2 Sn 2.06
F: 0.0000 0.0000 0.5000  2 Sn 2.37
Cs: 0.5000 0.5000 0.5000  4 F 2.92, 8 O 3.14
Sn: 0.0000 0.0000 0.0000  4 O 2.06

=====

Entry 6:
First-principles (GGA-PBE) data for an optimized crystal structure of CsSnOF2, as listed in Alexandria.

Output
Its energy relative to the lowest polymorph listed for this composition is 1.758 eV per atom. For the spin magnetization, the calculation gives 0.00 μB per atom. Its formation energy (no corrections) is -0.349 eV per atom. The value obtained for the calculated volume is 23.07 A^3/atom. The value obtained for the density of states at the Fermi level is 3.71 states/eV per cell. The value obtained for the uncorrected energy is -15.30 eV per cell.

a b c (Å): 5.3330 4.0565 5.3330
angles (deg): 90.00 90.00 90.00
With the nearest neighbours (Å) after each atom.
Atoms (fractional coordinates):
O: 0.0000 0.0000 0.0000  2 Cs 2.03
F: 0.0000 0.0000 0.5000  2 O 2.67
F: 0.5000 0.0000 0.0000  2 O 2.67
Cs: 0.0000 0.5000 0.0000  2 O 2.03
Sn: 0.5000 0.5000 0.5000  8 F 3.35

=====

Entry 7:
First-principles (GGA-PBE) data for an optimized crystal structure of CsSnOF2, as listed in Alexandria.

Output
Its energy relative to the lowest polymorph listed for this composition is 0.000 eV per atom. For the spin magnetization, the calculation gives 0.00 μB per atom. Its formation energy (no corrections) is -2.108 eV per atom. The value obtained for the calculated volume is 19.02 A^3/atom. The value obtained for the density of states at the Fermi level is 0.48 states/eV per cell. The value obtained for the uncorrected energy is -24.10 eV per cell.

a b c (Å): 4.7743 4.7743 4.1727
angles (deg): 90.00 90.00 90.00
With the nearest neighbours (Å) after each atom.
Atoms (fractional coordinates):
O: 0.0000 0.0000 0.5000  2 Sn 2.09
Sn: 0.0000 0.0000 0.0000  2 O 2.09
Cs: 0.5000 0.5000 0.5000  8 F 3.17, 4 O 3.38
F: 0.5000 0.0000 0.0000  2 Sn 2.39
F: 0.0000 0.5000 0.0000  2 Sn 2.39

=====

Entry 8:
First-principles (GGA-PBE) data for an optimized crystal structure of CsSnOF2, as listed in Alexandria.

Output
Its energy relative to the lowest polymorph listed for this composition is 1.413 eV per atom. For the spin magnetization, the calculation gives 0.00 μB per atom. Its formation energy (no corrections) is -0.694 eV per atom. The value obtained for the calculated volume is 24.56 A^3/atom. The value obtained for the density of states at the Fermi level is 0.97 states/eV per cell. The value obtained for the uncorrected energy is -17.03 eV per cell.

a b c (Å): 5.1417 5.1417 4.6444
angles (deg): 90.00 90.00 90.00
With the nearest neighbours (Å) after each atom.
Atoms (fractional coordinates):
Sn: 0.5000 0.5000 0.5000  8 F 3.46, 4 O 3.64
Cs: 0.0000 0.0000 0.0000  2 O 2.32, 4 F 2.57
O: 0.0000 0.0000 0.5000  2 Cs 2.32
F: 0.5000 0.0000 0.0000  2 Cs 2.57
F: 0.0000 0.5000 0.0000  2 Cs 2.57